# CuSi3Cl PBEsol optimized geometry
# - Magnetic moment: 0.0 μB per formula unit
# - E_tot: -4.053 eV/atom
# - Formation energy (no corrections): 0.664 eV/atom
data_CuSi3Cl
_chemical_formula_sum 'Cu1 Si3 Cl1'
_cell_length_a 4.5429
_cell_length_b 4.5429
_cell_length_c 4.5429
_cell_angle_alpha 90.00
_cell_angle_beta 90.00
_cell_angle_gamma 90.00
_symmetry_space_group_name_H-M 'P m -3 m'
_symmetry_Int_Tables_number 221
_symmetry_space_group_name_Hall '-P 4 2 3'
loop_
_atom_site_label
_atom_site_fract_x
_atom_site_fract_y
_atom_site_fract_z
Cu1 0.0000 0.0000 0.0000
Si1 0.0000 0.0000 0.5000
Cl1 0.5000 0.5000 0.5000

---

# Cu2SiCl PBEsol optimized geometry
# - Polymorph energy (0 for the lowest one): 521 meV/atom
# - Magnetic moment: 0.0 μB per formula unit
# - E_tot: -3.468 eV/atom
# - Formation energy (no corrections): 0.637 eV/atom
data_Cu2SiCl
_chemical_formula_sum 'Cu8 Si4 Cl4'
_cell_length_a 6.1745
_cell_length_b 6.1745
_cell_length_c 6.1745
_cell_angle_alpha 90.00
_cell_angle_beta 90.00
_cell_angle_gamma 90.00
_symmetry_space_group_name_H-M 'F m -3 m'
_symmetry_Int_Tables_number 225
_symmetry_space_group_name_Hall '-F 4 2 3'
loop_
_atom_site_label
_atom_site_fract_x
_atom_site_fract_y
_atom_site_fract_z
Cu1 0.2500 0.2500 0.2500
Si1 0.0000 0.0000 0.0000
Cl1 0.0000 0.0000 0.5000

---

# CuSiCl PBEsol optimized geometry
# - Magnetic moment: 0.0 μB per formula unit
# - E_tot: -3.037 eV/atom
# - Formation energy (no corrections): 0.993 eV/atom
data_CuSiCl
_chemical_formula_sum 'Cu4 Si4 Cl4'
_cell_length_a 6.1946
_cell_length_b 6.1946
_cell_length_c 6.1946
_cell_angle_alpha 90.00
_cell_angle_beta 90.00
_cell_angle_gamma 90.00
_symmetry_space_group_name_H-M 'F -4 3 m'
_symmetry_Int_Tables_number 216
_symmetry_space_group_name_Hall 'F -4 2 3'
loop_
_atom_site_label
_atom_site_fract_x
_atom_site_fract_y
_atom_site_fract_z
Cu1 0.0000 0.0000 0.0000
Si1 0.0000 0.0000 0.5000
Cl1 0.2500 0.2500 0.2500

---

# CuSi2Cl PBEsol optimized geometry
# - Magnetic moment: 0.0 μB per formula unit
# - E_tot: -4.312 eV/atom
# - Formation energy (no corrections): 0.147 eV/atom
data_CuSi2Cl
_chemical_formula_sum 'Cu3 Si6 Cl3'
_cell_length_a 3.7929
_cell_length_b 3.7929
_cell_length_c 17.0165
_cell_angle_alpha 90.00
_cell_angle_beta 90.00
_cell_angle_gamma 120.00
_symmetry_space_group_name_H-M 'R -3 m'
_symmetry_Int_Tables_number 166
_symmetry_space_group_name_Hall '-R 3 2"'
loop_
_atom_site_label
_atom_site_fract_x
_atom_site_fract_y
_atom_site_fract_z
Cu1 0.0000 0.0000 0.0000
Si1 0.0000 0.0000 0.2865
Cl1 0.0000 0.0000 0.5000

---

# Cu2SiCl PBEsol optimized geometry
# - Polymorph energy (0 for the lowest one): 0 meV/atom
# - Magnetic moment: 0.0 μB per formula unit
# - E_tot: -3.989 eV/atom
# - Formation energy (no corrections): 0.116 eV/atom
data_Cu2SiCl
_chemical_formula_sum 'Cu2 Si1 Cl1'
_cell_length_a 3.0366
_cell_length_b 3.0366
_cell_length_c 6.7138
_cell_angle_alpha 90.00
_cell_angle_beta 90.00
_cell_angle_gamma 90.00
_symmetry_space_group_name_H-M 'P 4 m m'
_symmetry_Int_Tables_number 99
_symmetry_space_group_name_Hall 'P 4 -2'
loop_
_atom_site_label
_atom_site_fract_x
_atom_site_fract_y
_atom_site_fract_z
Cu1 0.0000 0.0000 0.0000
Cu2 0.5000 0.5000 0.2024
Si1 0.0000 0.0000 0.3814
Cl1 0.5000 0.5000 0.8008

---

# Sr2CuCl PBEsol optimized geometry
# - Magnetic moment: 0.0 μB per formula unit
# - E_tot: -3.289 eV/atom
# - Formation energy (no corrections): -0.783 eV/atom
data_Sr2CuCl
_chemical_formula_sum 'Sr2 Cu1 Cl1'
_cell_length_a 4.3490
_cell_length_b 4.3490
_cell_length_c 6.1358
_cell_angle_alpha 90.00
_cell_angle_beta 90.00
_cell_angle_gamma 90.00
_symmetry_space_group_name_H-M 'P 4/m m m'
_symmetry_Int_Tables_number 123
_symmetry_space_group_name_Hall '-P 4 2'
loop_
_atom_site_label
_atom_site_fract_x
_atom_site_fract_y
_atom_site_fract_z
Sr1 0.0000 0.0000 0.0000
Sr2 0.5000 0.5000 0.5000
Cu1 0.0000 0.0000 0.5000
Cl1 0.5000 0.5000 0.0000

---

# SrCu2Cl PBEsol optimized geometry
# - Magnetic moment: 0.0 μB per formula unit
# - E_tot: -3.227 eV/atom
# - Formation energy (no corrections): -0.098 eV/atom
data_SrCu2Cl
_chemical_formula_sum 'Sr1 Cu2 Cl1'
_cell_length_a 4.1599
_cell_length_b 4.1599
_cell_length_c 5.2923
_cell_angle_alpha 90.00
_cell_angle_beta 90.00
_cell_angle_gamma 90.00
_symmetry_space_group_name_H-M 'P 4/m m m'
_symmetry_Int_Tables_number 123
_symmetry_space_group_name_Hall '-P 4 2'
loop_
_atom_site_label
_atom_site_fract_x
_atom_site_fract_y
_atom_site_fract_z
Sr1 0.0000 0.0000 0.0000
Cu1 0.5000 0.5000 0.2467
Cl1 0.0000 0.0000 0.5000

---

# TaCuCl2 PBEsol optimized geometry
# - Polymorph energy (0 for the lowest one): 227 meV/atom
# - Magnetic moment: 0.0 μB per formula unit
# - E_tot: -5.208 eV/atom
# - Formation energy (no corrections): 0.017 eV/atom
data_TaCuCl2
_chemical_formula_sum 'Ta2 Cu2 Cl4'
_cell_length_a 2.8855
_cell_length_b 5.5497
_cell_length_c 9.5099
_cell_angle_alpha 90.00
_cell_angle_beta 90.00
_cell_angle_gamma 90.00
_symmetry_space_group_name_H-M 'C m m m'
_symmetry_Int_Tables_number 65
_symmetry_space_group_name_Hall '-C 2 2'
loop_
_atom_site_label
_atom_site_fract_x
_atom_site_fract_y
_atom_site_fract_z
Ta1 0.0000 0.0000 0.0000
Cu1 0.0000 0.0000 0.5000
Cl1 0.0000 0.5000 0.2099

---

# TaCuCl2 PBEsol optimized geometry
# - Polymorph energy (0 for the lowest one): 681 meV/atom
# - Magnetic moment: 0.0 μB per formula unit
# - E_tot: -4.755 eV/atom
# - Formation energy (no corrections): 0.471 eV/atom
data_TaCuCl2
_chemical_formula_sum 'Ta2 Cu2 Cl4'
_cell_length_a 3.5015
_cell_length_b 3.5015
_cell_length_c 10.1847
_cell_angle_alpha 90.00
_cell_angle_beta 90.00
_cell_angle_gamma 90.00
_symmetry_space_group_name_H-M 'I -4 m 2'
_symmetry_Int_Tables_number 119
_symmetry_space_group_name_Hall 'I -4 -2'
loop_
_atom_site_label
_atom_site_fract_x
_atom_site_fract_y
_atom_site_fract_z
Ta1 0.0000 0.0000 0.0000
Cu1 0.0000 0.5000 0.7500
Cl1 0.0000 0.0000 0.5000
Cl2 0.0000 0.5000 0.2500

---

# TaCuCl2 PBEsol optimized geometry
# - Polymorph energy (0 for the lowest one): 504 meV/atom
# - Magnetic moment: 0.0 μB per formula unit
# - E_tot: -4.932 eV/atom
# - Formation energy (no corrections): 0.293 eV/atom
data_TaCuCl2
_chemical_formula_sum 'Ta1 Cu1 Cl2'
_cell_length_a 2.9204
_cell_length_b 4.1303
_cell_length_c 5.2839
_cell_angle_alpha 90.00
_cell_angle_beta 90.00
_cell_angle_gamma 90.00
_symmetry_space_group_name_H-M 'P m m m'
_symmetry_Int_Tables_number 47
_symmetry_space_group_name_Hall '-P 2 2'
loop_
_atom_site_label
_atom_site_fract_x
_atom_site_fract_y
_atom_site_fract_z
Ta1 0.0000 0.0000 0.0000
Cu1 0.5000 0.0000 0.5000
Cl1 0.0000 0.5000 0.5000
Cl2 0.5000 0.5000 0.0000

---

# TaCuCl2 PBEsol optimized geometry
# - Polymorph energy (0 for the lowest one): 0 meV/atom
# - Magnetic moment: 0.0 μB per formula unit
# - E_tot: -5.436 eV/atom
# - Formation energy (no corrections): -0.210 eV/atom
data_TaCuCl2
_chemical_formula_sum 'Ta3 Cu3 Cl6'
_cell_length_a 3.0055
_cell_length_b 3.0055
_cell_length_c 28.8103
_cell_angle_alpha 90.00
_cell_angle_beta 90.00
_cell_angle_gamma 120.00
_symmetry_space_group_name_H-M 'R -3 m'
_symmetry_Int_Tables_number 166
_symmetry_space_group_name_Hall '-R 3 2"'
loop_
_atom_site_label
_atom_site_fract_x
_atom_site_fract_y
_atom_site_fract_z
Ta1 0.0000 0.0000 0.0000
Cu1 0.0000 0.0000 0.5000
Cl1 0.0000 0.0000 0.2705

---

# YTaCu2Cl PBEsol optimized geometry
# - Magnetic moment: 0.0 μB per formula unit
# - E_tot: -5.078 eV/atom
# - Formation energy (no corrections): 0.932 eV/atom
data_YTaCu2Cl
_chemical_formula_sum 'Y1 Ta1 Cu2 Cl1'
_cell_length_a 4.6388
_cell_length_b 4.6388
_cell_length_c 5.6815
_cell_angle_alpha 90.00
_cell_angle_beta 90.00
_cell_angle_gamma 90.00
_symmetry_space_group_name_H-M 'P 4/m m m'
_symmetry_Int_Tables_number 123
_symmetry_space_group_name_Hall '-P 4 2'
loop_
_atom_site_label
_atom_site_fract_x
_atom_site_fract_y
_atom_site_fract_z
Y1 0.0000 0.0000 0.0000
Ta1 0.0000 0.0000 0.5000
Cu1 0.0000 0.5000 0.5000
Cl1 0.5000 0.5000 0.0000

---

# Cu2TcCl PBEsol optimized geometry
# - Polymorph energy (0 for the lowest one): 222 meV/atom
# - Magnetic moment: 1.0 μB per formula unit
# - E_tot: -4.678 eV/atom
# - Formation energy (no corrections): 0.807 eV/atom
data_Cu2TcCl
_chemical_formula_sum 'Cu8 Tc4 Cl4'
_cell_length_a 5.9508
_cell_length_b 5.9508
_cell_length_c 5.9508
_cell_angle_alpha 90.00
_cell_angle_beta 90.00
_cell_angle_gamma 90.00
_symmetry_space_group_name_H-M 'F -4 3 m'
_symmetry_Int_Tables_number 216
_symmetry_space_group_name_Hall 'F -4 2 3'
loop_
_atom_site_label
_atom_site_fract_x
_atom_site_fract_y
_atom_site_fract_z
Cu1 0.0000 0.0000 0.0000
Cu2 0.2500 0.2500 0.2500
Tc1 0.0000 0.0000 0.5000
Cl1 0.2500 0.2500 0.7500

---

# Cu2TcCl PBEsol optimized geometry
# - Polymorph energy (0 for the lowest one): 211 meV/atom
# - Magnetic moment: 1.2 μB per formula unit
# - E_tot: -4.690 eV/atom
# - Formation energy (no corrections): 0.796 eV/atom
data_Cu2TcCl
_chemical_formula_sum 'Cu2 Tc1 Cl1'
_cell_length_a 3.5375
_cell_length_b 3.5375
_cell_length_c 4.2637
_cell_angle_alpha 90.00
_cell_angle_beta 90.00
_cell_angle_gamma 90.00
_symmetry_space_group_name_H-M 'P 4/m m m'
_symmetry_Int_Tables_number 123
_symmetry_space_group_name_Hall '-P 4 2'
loop_
_atom_site_label
_atom_site_fract_x
_atom_site_fract_y
_atom_site_fract_z
Cu1 0.0000 0.5000 0.0000
Tc1 0.0000 0.0000 0.5000
Cl1 0.5000 0.5000 0.5000

---

# CuTcCl PBEsol optimized geometry
# - Magnetic moment: 3.4 μB per formula unit
# - E_tot: -4.509 eV/atom
# - Formation energy (no corrections): 1.361 eV/atom
data_CuTcCl
_chemical_formula_sum 'Cu4 Tc4 Cl4'
_cell_length_a 5.9773
_cell_length_b 5.9773
_cell_length_c 5.9773
_cell_angle_alpha 90.00
_cell_angle_beta 90.00
_cell_angle_gamma 90.00
_symmetry_space_group_name_H-M 'F -4 3 m'
_symmetry_Int_Tables_number 216
_symmetry_space_group_name_Hall 'F -4 2 3'
loop_
_atom_site_label
_atom_site_fract_x
_atom_site_fract_y
_atom_site_fract_z
Cu1 0.0000 0.0000 0.0000
Tc1 0.2500 0.2500 0.7500
Cl1 0.2500 0.2500 0.2500